# 1
A plane-wave DFT calculation with PBE was carried out for an optimized crystal structure of SrLiMg5Cd2.

Unit cell a=5.133 b=5.133 c=9.542 alpha=90.00 beta=90.00 gamma=90.00
Atoms (fractional coordinates):
Sr: 0.000 0.000 0.500
Li: 0.000 0.000 0.000
Mg: 0.000 0.500 0.262
Mg: 0.500 0.000 0.262
Mg: 0.000 0.500 0.738
Mg: 0.500 0.000 0.738
Mg: 0.500 0.500 0.500
Cd: 0.500 0.500 0.143
Cd: 0.500 0.500 0.857

Results
As for the energy of formation: 0.070 eV/atom.

# 2
A plane-wave DFT calculation with PBE was carried out for an optimized crystal structure of Rb3YS3.

Unit cell a=8.474 b=8.474 c=8.206 alpha=95.39 beta=95.39 gamma=114.46
Atoms (fractional coordinates):
Rb: 0.620 0.620 0.364
Rb: 0.184 0.816 0.500
Rb: 0.816 0.184 0.500
Rb: 0.251 0.749 0.000
Rb: 0.749 0.251 0.000
Rb: 0.380 0.380 0.636
Y: 0.820 0.820 0.858
Y: 0.180 0.180 0.142
S: 0.903 0.903 0.186
S: 0.834 0.541 0.728
S: 0.541 0.834 0.728
S: 0.166 0.459 0.272
S: 0.459 0.166 0.272
S: 0.097 0.097 0.814

Results
As for the formation energy (no corrections): -1.447 eV/atom.

# 3
A plane-wave DFT calculation with PBE was carried out for an optimized crystal structure of ScInFe2.

Unit cell a=7.193 b=7.193 c=5.803 alpha=51.70 beta=51.70 gamma=90.00
Site moments in Bohr magnetons follow the coordinates.
Atoms (fractional coordinates):
Sc: 0.500 0.500 0.000  -0.40
Sc: 0.250 0.750 0.500  -0.39
Fe: 0.628 0.125 0.250  2.35
Fe: 0.122 0.625 0.250  2.38
Fe: 0.375 0.372 0.750  2.34
Fe: 0.875 0.878 0.750  2.37
In: 0.000 0.000 0.000  -0.06
In: 0.750 0.250 0.500  -0.06

Results
As for the energy of formation: 0.479 eV/atom.

# 4
A plane-wave DFT calculation with PBE was carried out for an optimized crystal structure of Li2PaCrSe4.

Unit cell a=3.992 b=6.657 c=6.860 alpha=108.55 beta=90.00 gamma=90.00
Site moments in Bohr magnetons follow the coordinates.
Atoms (fractional coordinates):
Li: 0.500 0.000 0.500  0.00
Li: 0.000 0.500 0.500  0.01
Pa: 0.500 0.500 0.000  1.01
Cr: 0.000 0.000 0.000  3.61
Se: 0.500 0.232 0.240  -0.05
Se: 0.500 0.768 0.760  -0.05
Se: 0.000 0.238 0.745  -0.04
Se: 0.000 0.762 0.255  -0.04

Results
As for the formation energy (no corrections): -1.068 eV/atom.

# 5
A plane-wave DFT calculation with PBE was carried out for an optimized crystal structure of PmNd5In3.

Unit cell a=6.939 b=9.633 c=9.632 alpha=120.00 beta=90.00 gamma=90.00
Site moments in Bohr magnetons follow the coordinates.
Atoms (fractional coordinates):
Pm: 0.000 0.000 0.000  0.09
Pm: 0.500 0.000 0.000  0.09
Nd: 0.000 0.667 0.334  0.09
Nd: 0.500 0.333 0.666  0.09
Nd: 0.000 0.333 0.666  0.09
Nd: 0.500 0.667 0.334  0.09
Nd: 0.750 0.666 0.666  0.06
Nd: 0.750 0.000 0.334  0.06
Nd: 0.750 0.334 0.000  0.06
Nd: 0.250 0.334 0.334  0.06
Nd: 0.250 0.000 0.666  0.06
Nd: 0.250 0.666 0.000  0.06
In: 0.750 0.332 0.332  0.00
In: 0.750 0.000 0.668  0.00
In: 0.750 0.668 0.000  0.00
In: 0.250 0.668 0.668  0.00
In: 0.250 0.000 0.332  0.00
In: 0.250 0.332 0.000  0.00

Results
As for the energy of formation: -0.343 eV/atom.

# 6
A plane-wave DFT calculation with PBE was carried out for an optimized crystal structure of BC5.

Unit cell a=2.532 b=3.679 c=7.761 alpha=90.00 beta=90.00 gamma=90.00
Atoms (fractional coordinates):
B: 0.500 0.507 0.168
B: 0.000 0.007 0.999
C: 0.000 0.226 0.176
C: 0.500 0.726 0.991
C: 0.500 0.502 0.502
C: 0.000 0.258 0.502
C: 0.000 0.999 0.339
C: 0.500 0.758 0.343
C: 0.500 0.499 0.827
C: 0.000 0.258 0.824
C: 0.000 0.002 0.665
C: 0.500 0.758 0.664

Results
As for the distance to the lowest polymorph of the same formula: 59 meV/atom. As for the energy of formation: 0.267 eV/atom.

# 7
A plane-wave DFT calculation with PBE was carried out for an optimized crystal structure of ZrCoSe2.

Unit cell a=3.407 b=3.458 c=6.340 alpha=76.01 beta=90.00 gamma=90.00
Site moments in Bohr magnetons follow the coordinates.
Atoms (fractional coordinates):
Co: 0.500 0.750 0.750  0.91
Se: 0.000 0.830 0.998  0.01
Se: 0.000 0.670 0.502  0.01
Zr: 0.500 0.250 0.250  -0.02

Results
As for the distance to the lowest polymorph of the same formula: 203 meV/atom. As for the formation energy (no corrections): -0.544 eV/atom.

# 8
A plane-wave DFT calculation with PBE was carried out for an optimized crystal structure of Li2ZrAu3.

Unit cell a=3.186 b=3.186 c=9.937 alpha=90.00 beta=90.00 gamma=90.00
Atoms (fractional coordinates):
Li: 0.500 0.500 0.851
Li: 0.500 0.500 0.149
Zr: 0.500 0.500 0.500
Au: 0.000 0.000 0.000
Au: 0.000 0.000 0.696
Au: 0.000 0.000 0.304

Results
As for the energy of formation: -0.518 eV/atom.

Number 1: DOS at the Fermi energy 4.994 states/eV/f.u.. Number 2: DOS at the Fermi energy 0.000 states/eV/f.u.. Number 3: DOS at the Fermi energy 2.759 states/eV/f.u.. Number 4: DOS at the Fermi energy 4.940 states/eV/f.u.. Number 5: DOS at the Fermi energy 12.952 states/eV/f.u.. Number 6: DOS at the Fermi energy 1.342 states/eV/f.u.. Number 7: DOS at the Fermi energy 3.482 states/eV/f.u.. Number 8: DOS at the Fermi energy 4.324 states/eV/f.u..